{"formula": "NpNbRu", "functional": "PBE", "state": "relaxed", "lattice_angstrom": [[3.3314, 0.0000, 0.0000], [-1.6657, 2.8851, 0.0000], [0.0000, 0.0000, 5.7275]], "species": ["Np", "Nb", "Ru"], "fractional_positions": [[0.0000, 0.0000, 0.0000], [0.6667, 0.3333, 0.3344], [0.3333, 0.6667, 0.7129]], "delta_e_f_ev_per_atom": 0.41}